# La2Nb2Tc

An optimized crystal structure of La2Nb2Tc (PBE-GGA, the Alexandria database).

Values from the calculation:
Final energy = -0.2882 hartree per atom
ΔE to the lowest computed polymorph = 0 meV per atom
ΔH_f (0 K) = 0.230 eV per atom

Unit cell a=6.681 b=6.681 c=5.469 alpha=90.00 beta=90.00 gamma=90.00
Element x y z (fractional)
La 0.829 0.329 0.500
La 0.171 0.671 0.500
Nb 0.647 0.147 0.000
Nb 0.147 0.353 0.000
La 0.671 0.829 0.500
La 0.329 0.171 0.500
Tc 0.000 0.000 0.000
Nb 0.853 0.647 0.000
Nb 0.353 0.853 0.000
Tc 0.500 0.500 0.000